[1]
Material: SrZnInNiSe
Method: DFT, PBE
State: relaxed

Cell and atoms, written as POSCAR:
```
SrZnInNiSe
1.0
-2.161 2.256 5.898
2.161 -2.256 5.898
2.161 2.256 -5.898
Sr Zn In Ni Se
1 1 1 1 1
Direct
0.000 0.000 0.000
0.734 0.234 0.500
0.248 0.748 0.500
0.653 0.653 0.000
0.455 0.455 0.000
```

**Total moment**: 0.00 μB per cell
**Theoretical density**: 5.855 g/cm³
**Offset from the most stable computed form**: 0 meV/atom
**Total DFT energy (no corrections)**: -18.19 eV per formula unit
**Uncorrected formation energy**: -62 kJ per mole of atoms


[2]
Material: HfBe3Nb
Method: DFT, PBE
State: relaxed

Cell and atoms, written as POSCAR:
```
HfBe3Nb
1.0
1.555 -11.535 0.000
1.555 11.535 0.000
0.000 0.000 3.681
Hf Be Nb
2 6 2
Direct
0.206 0.794 0.750
0.794 0.206 0.250
0.340 0.660 0.750
0.387 0.613 0.250
0.478 0.522 0.250
0.522 0.478 0.750
0.613 0.387 0.750
0.660 0.340 0.250
0.069 0.931 0.250
0.931 0.069 0.750
```

**Total moment**: 0.50 μB per cell
**Theoretical density**: 7.507 g/cm³
**Offset from the most stable computed form**: 0 meV/atom
**DFT formation energy**: -137 meV per atom
**Total DFT energy (no corrections)**: -31.89 eV per formula unit


[3]
Material: Cd2PdPt
Method: DFT, PBE
State: relaxed

Cell and atoms, written as POSCAR:
```
Cd2PdPt
1.0
-1.420 2.457 5.460
1.420 -2.457 5.460
1.420 2.457 -5.460
Cd Pd Pt
2 1 1
Direct
0.250 0.250 0.000
0.750 0.750 0.000
0.000 0.000 0.000
0.500 0.500 0.000
```

**Total moment**: 0.00 μB per cell
**Theoretical density**: 11.467 g/cm³
**DFT formation energy**: 90 meV per atom
**Total DFT energy (no corrections)**: -12.70 eV per formula unit


[4]
Material: BeCd2Hg
Method: DFT, PBE
State: relaxed

Cell and atoms, written as POSCAR:
```
BeCd2Hg
1.0
3.087 0.000 0.000
0.000 3.087 0.000
0.000 0.000 8.077
Be Cd Hg
1 2 1
Direct
0.000 0.000 0.000
0.000 0.000 0.503
0.500 0.500 0.206
0.500 0.500 0.809
```

**Total moment**: 0.00 μB per cell
**Theoretical density**: 9.373 g/cm³
**Offset from the most stable computed form**: 90 meV/atom
**DFT formation energy**: 297 meV per atom
**Total DFT energy (no corrections)**: -4.67 eV per formula unit